Record 1
Pm2TlCu after structural relaxation, computed with PBE.

Unit cell a=3.644 b=3.644 c=7.842 alpha=90.00 beta=90.00 gamma=90.00
Space group P4/mmm (No. 123)
Asymmetric unit:
Pm (0.000, 0.000, 0.222) x2
Tl (0.500, 0.500, 0.500) x1
Cu (0.500, 0.500, 0.000) x1

=====

Record 2
Pm8TlCu2 after structural relaxation, computed with PBE.

Unit cell a=17.545 b=5.073 c=7.879 alpha=90.00 beta=113.98 gamma=90.00
Space group C2/m (No. 12)
Asymmetric unit:
Pm (0.047, 0.000, 0.260) x4
Pm (0.094, 0.500, 0.968) x4
Pm (0.183, 0.500, 0.481) x4
Pm (0.187, 0.000, 0.792) x4
Tl (0.000, 0.500, 0.500) x2
Cu (0.190, 0.000, 0.156) x4

Results
Excess energy over the best structure of this formula in the dataset ... 0.000 eV per atom

=====

Record 3
Pm4TlCu2 after structural relaxation, computed with PBE.

Unit cell a=5.0149 b=5.0149 c=27.4814 alpha=90.00 beta=90.00 gamma=120.00
Space group R-3m (No. 166, hexagonal axes)
Asymmetric unit:
Pm (0.0000, 0.0000, 0.1159) x6
Pm (0.0000, 0.0000, 0.2958) x6
Tl (0.0000, 0.0000, 0.5000) x3
Cu (0.0000, 0.0000, 0.4001) x6

=====

Record 4
Pm7Tl2Cu2 after structural relaxation, computed with PBE.

Unit cell a=8.198 b=11.490 c=7.213 alpha=90.00 beta=90.00 gamma=90.00
Space group Cmmm (No. 65)
Asymmetric unit:
Pm (0.000, 0.000, 0.000) x2
Pm (0.000, 0.500, 0.238) x4
Pm (0.250, 0.250, 0.256) x8
Tl (0.177, 0.000, 0.500) x4
Cu (0.000, 0.292, 0.000) x4

=====

Record order is preserved below.
Formation energy: -0.2597, -0.1122, -0.0288, -0.0262 eV/atom
Record order is preserved below.
E: -17.0, -99.6, -89.3, -92.9 eV/cell